DFT (PBE) results for a geometry-optimized ZrTl2Br2O2 structure.

Cell and atoms, written as extended XYZ:
```
7
Lattice="-0.567 2.507 -3.504 -2.248 -3.188 -1.917 -6.182 3.566 6.247" Properties=species:S:1:pos:R:3 pbc="T T T"
Zr 0.000 0.000 0.000
Tl -5.860 2.491 2.730
Tl -3.137 0.395 -1.905
Br -2.385 1.013 1.111
Br -6.613 1.872 -0.285
O -1.124 -1.594 -0.958
O -0.284 1.253 -1.752
```

* raw formation energy: -1.61 eV/atom